Computed, not measured: crystalline LiBe2In at its relaxed geometry at the PBE level of DFT.

```
4
Lattice="2.866 0.000 0.000 0.000 4.212 0.000 -0.198 0.000 4.786" Properties=species:S:1:pos:R:3 pbc="T T T"
Li 0.000 0.000 0.000
Be 0.871 2.106 0.967
Be 1.796 2.106 3.819
In 1.334 0.000 2.393
```

Energy = -2.665 eV/atom
Formation energy from the elements = 0.36 eV/atom
Symmetry = No. 10
Magnetic moment = 0.00 Bohr magnetons per cell